{"formula": "Be2Co2Os", "functional": "SCAN", "state": "single point on PBEsol structure", "mass_density_g_cm3": 11.2, "delta_e_f_ev_per_atom": -0.132, "n_ef_per_ev_cell": 6.2, "space_group": "No. 127", "lattice": [[6.1328, 0.0000, 0.0000], [0.0000, 6.1328, 0.0000], [0.0000, 0.0000, 2.5618]], "species": ["Be", "Be", "Be", "Be", "Co", "Co", "Co", "Co", "Os", "Os"], "frac_coords": [[0.1235, 0.3765, 0.0000], [0.3765, 0.8765, 0.0000], [0.6235, 0.1235, 0.0000], [0.8765, 0.6235, 0.0000], [0.1715, 0.6715, 0.5000], [0.3285, 0.1715, 0.5000], [0.6715, 0.8285, 0.5000], [0.8285, 0.3285, 0.5000], [0.0000, 0.0000, 0.0000], [0.5000, 0.5000, 0.0000]]}